Below is crystalline Li7Mn2Co3O12 at its relaxed geometry, with properties calculated at the PBE+U level.

Lattice parameters (Å, degrees): 6.5742 6.5742 5.0289 97.26 97.26 83.56
Positions (direct):
Li  0.0000  0.0000  0.0000
Li  0.0813  0.4055  0.2462
Li  0.2458  0.2418  0.7538
Li  0.4143  0.0841  0.2568
Li  0.5945  0.9187  0.7538
Li  0.7582  0.7542  0.2462
Li  0.9159  0.5857  0.7432
Mn  0.1623  0.8377  0.5000
Mn  0.3321  0.6679  0.0000
Co  0.5108  0.4892  0.5000
Co  0.6768  0.3232  0.0000
Co  0.8373  0.1627  0.5000
O  0.0688  0.7083  0.1402
O  0.1276  0.1046  0.3890
O  0.2220  0.5620  0.6381
O  0.2917  0.9312  0.8598
O  0.3796  0.3931  0.1219
O  0.4380  0.7780  0.3619
O  0.5458  0.2172  0.6287
O  0.6069  0.6204  0.8781
O  0.7119  0.0638  0.1538
O  0.7828  0.4542  0.3713
O  0.8954  0.8724  0.6110
O  0.9362  0.2881  0.8462

Symmetry   C2
Size of the total moment   16.02 μB per formula unit
Total energy   -5.8604 eV per atom
DOS(E_F)   0.38 states/eV/f.u.
Mass density   4.11 g/cm³
Excess energy over the best structure of this formula in the dataset   36 meV/atom
Crystal system   monoclinic